[1]
DFT (meta-GGA SCAN) results for a crystal of LiTlGa2 relaxed with PBEsol.

Values from the calculation:
- crystal system = cubic
- formation energy (eV per atom) = 0.0394
- M_tot (μB/f.u.) = 0.00

Lattice parameters (Å, degrees): 4.858 4.858 4.858 60.00 60.00 60.00
Atoms (fractional coordinates):
Ga (0.750, 0.750, 0.750)
Ga (0.250, 0.250, 0.250)
Li (0.000, 0.000, 0.000)
Tl (0.500, 0.500, 0.500)

=====

[2]
DFT (meta-GGA SCAN) results for a crystal of Li3TlGa relaxed with PBEsol.

Values from the calculation:
- crystal system = cubic
- formation energy (eV per atom) = 0.0601
- M_tot (μB/f.u.) = 0.83
- E above lowest polymorph (eV per atom) = 0.000

Lattice parameters (Å, degrees): 4.818 4.818 4.818 90.00 90.00 90.00
Atoms (fractional coordinates):
Li (0.000, 0.000, 0.500)
Li (0.500, 0.000, 0.000)
Li (0.000, 0.500, 0.000)
Tl (0.500, 0.500, 0.500)
Ga (0.000, 0.000, 0.000)

=====

[3]
DFT (meta-GGA SCAN) results for a crystal of Li3TlGa relaxed with PBEsol.

Values from the calculation:
- crystal system = cubic
- formation energy (eV per atom) = 0.2013
- M_tot (μB/f.u.) = 0.00
- E above lowest polymorph (eV per atom) = 0.141

Lattice parameters (Å, degrees): 5.031 5.031 5.031 90.00 90.00 90.00
Atoms (fractional coordinates):
Li (0.000, 0.000, 0.500)
Li (0.000, 0.500, 0.000)
Li (0.500, 0.000, 0.000)
Tl (0.000, 0.000, 0.000)
Ga (0.500, 0.500, 0.500)

=====

[4]
DFT (meta-GGA SCAN) results for a crystal of Li2TlGa2 relaxed with PBEsol.

Values from the calculation:
- crystal system = tetragonal
- formation energy (eV per atom) = -0.1930
- M_tot (μB/f.u.) = 0.00

Lattice parameters (Å, degrees): 2.943 7.881 7.881 90.00 90.00 90.00
Atoms (fractional coordinates):
Ga (0.000, 0.887, 0.613)
Ga (0.000, 0.613, 0.113)
Ga (0.000, 0.387, 0.887)
Ga (0.000, 0.113, 0.387)
Tl (0.000, 0.000, 0.000)
Tl (0.000, 0.500, 0.500)
Li (0.500, 0.185, 0.685)
Li (0.500, 0.315, 0.185)
Li (0.500, 0.685, 0.815)
Li (0.500, 0.815, 0.315)

=====

[5]
DFT (meta-GGA SCAN) results for a crystal of LiY2Ga2 relaxed with PBEsol.

Values from the calculation:
- crystal system = tetragonal
- formation energy (eV per atom) = -0.5730
- M_tot (μB/f.u.) = 0.59

Lattice parameters (Å, degrees): 4.325 7.150 7.150 90.00 90.00 90.00
Atoms (fractional coordinates):
Ga (0.000, 0.633, 0.133)
Ga (0.000, 0.367, 0.867)
Ga (0.000, 0.133, 0.367)
Ga (0.000, 0.867, 0.633)
Li (0.000, 0.000, 0.000)
Li (0.000, 0.500, 0.500)
Y (0.500, 0.168, 0.668)
Y (0.500, 0.332, 0.168)
Y (0.500, 0.668, 0.832)
Y (0.500, 0.832, 0.332)

=====

[6]
DFT (meta-GGA SCAN) results for a crystal of Li2YGa2 relaxed with PBEsol.

Values from the calculation:
- crystal system = tetragonal
- formation energy (eV per atom) = -0.4357
- M_tot (μB/f.u.) = 0.00

Lattice parameters (Å, degrees): 3.928 3.928 6.741 106.94 106.94 90.00
Atoms (fractional coordinates):
Ga (0.603, 0.603, 0.206)
Ga (0.397, 0.397, 0.794)
Li (0.250, 0.750, 0.500)
Li (0.750, 0.250, 0.500)
Y (0.000, 0.000, 0.000)

=====

[7]
DFT (meta-GGA SCAN) results for a crystal of Li2Zn2Ga relaxed with PBEsol.

Values from the calculation:
- crystal system = tetragonal
- formation energy (eV per atom) = 0.0637
- M_tot (μB/f.u.) = 0.00

Lattice parameters (Å, degrees): 3.498 3.498 7.030 104.40 104.40 90.00
Atoms (fractional coordinates):
Zn (0.599, 0.599, 0.198)
Zn (0.401, 0.401, 0.802)
Ga (0.000, 0.000, 0.000)
Li (0.750, 0.250, 0.500)
Li (0.250, 0.750, 0.500)

=====

[8]
DFT (meta-GGA SCAN) results for a crystal of Li2ZrGa2 relaxed with PBEsol.

Values from the calculation:
- crystal system = tetragonal
- formation energy (eV per atom) = -0.3660
- M_tot (μB/f.u.) = 0.00

Lattice parameters (Å, degrees): 3.718 3.718 6.587 106.39 106.39 90.00
Atoms (fractional coordinates):
Ga (0.400, 0.400, 0.800)
Ga (0.600, 0.600, 0.200)
Li (0.250, 0.750, 0.500)
Li (0.750, 0.250, 0.500)
Zr (0.000, 0.000, 0.000)

=====

[9]
DFT (meta-GGA SCAN) results for a crystal of LiZrGa3 relaxed with PBEsol.

Values from the calculation:
- crystal system = cubic
- formation energy (eV per atom) = 0.0498
- M_tot (μB/f.u.) = 0.00

Lattice parameters (Å, degrees): 4.368 4.368 4.368 90.00 90.00 90.00
Atoms (fractional coordinates):
Ga (0.500, 0.000, 0.000)
Ga (0.000, 0.500, 0.000)
Ga (0.000, 0.000, 0.500)
Li (0.000, 0.000, 0.000)
Zr (0.500, 0.500, 0.500)

=====

[10]
DFT (meta-GGA SCAN) results for a crystal of LuGa2 relaxed with PBEsol.

Values from the calculation:
- crystal system = orthorhombic
- formation energy (eV per atom) = -0.6865
- M_tot (μB/f.u.) = 0.00

Lattice parameters (Å, degrees): 4.131 5.622 5.622 73.65 68.44 68.44
Atoms (fractional coordinates):
Lu (0.561, 0.689, 0.189)
Lu (0.439, 0.311, 0.811)
Ga (0.841, 0.710, 0.609)
Ga (0.841, 0.109, 0.210)
Ga (0.159, 0.290, 0.391)
Ga (0.159, 0.891, 0.790)

=====

[11]
DFT (meta-GGA SCAN) results for a crystal of Lu5Ga3 relaxed with PBEsol.

Values from the calculation:
- crystal system = hexagonal
- formation energy (eV per atom) = -0.5542
- M_tot (μB/f.u.) = 0.00

Lattice parameters (Å, degrees): 6.182 8.320 8.320 120.00 90.00 90.00
Atoms (fractional coordinates):
Lu (0.500, 0.333, 0.667)
Lu (0.250, 0.243, 0.000)
Lu (0.250, 0.000, 0.243)
Lu (0.250, 0.757, 0.757)
Lu (0.000, 0.667, 0.333)
Lu (0.750, 0.757, 0.000)
Lu (0.500, 0.667, 0.333)
Lu (0.750, 0.000, 0.757)
Lu (0.000, 0.333, 0.667)
Lu (0.750, 0.243, 0.243)
Ga (0.750, 0.600, 0.600)
Ga (0.250, 0.400, 0.400)
Ga (0.250, 0.000, 0.600)
Ga (0.250, 0.600, 0.000)
Ga (0.750, 0.400, 0.000)
Ga (0.750, 0.000, 0.400)

=====

[12]
DFT (meta-GGA SCAN) results for a crystal of LuGa3 relaxed with PBEsol.

Values from the calculation:
- crystal system = cubic
- formation energy (eV per atom) = -0.5708
- M_tot (μB/f.u.) = 0.00

Lattice parameters (Å, degrees): 4.142 4.142 4.142 90.00 90.00 90.00
Atoms (fractional coordinates):
Ga (0.000, 0.500, 0.500)
Ga (0.500, 0.500, 0.000)
Ga (0.500, 0.000, 0.500)
Lu (0.000, 0.000, 0.000)

=====

[13]
DFT (meta-GGA SCAN) results for a crystal of LuGa2Ni3 relaxed with PBEsol.

Values from the calculation:
- crystal system = hexagonal
- formation energy (eV per atom) = -0.6103
- M_tot (μB/f.u.) = 0.00

Lattice parameters (Å, degrees): 3.999 8.568 8.568 120.00 90.00 90.00
Atoms (fractional coordinates):
Lu (0.500, 0.667, 0.333)
Lu (0.500, 0.333, 0.667)
Lu (0.000, 0.000, 0.000)
Ni (0.500, 0.704, 0.000)
Ni (0.000, 0.825, 0.197)
Ni (0.000, 0.372, 0.175)
Ni (0.000, 0.628, 0.803)
Ni (0.500, 0.000, 0.704)
Ni (0.000, 0.197, 0.825)
Ni (0.500, 0.296, 0.296)
Ni (0.000, 0.803, 0.628)
Ni (0.000, 0.175, 0.372)
Ga (0.500, 0.730, 0.730)
Ga (0.000, 0.483, 0.483)
Ga (0.000, 0.000, 0.517)
Ga (0.500, 0.000, 0.270)
Ga (0.500, 0.270, 0.000)
Ga (0.000, 0.517, 0.000)